Record 1
Here is a relaxed structure of MgTaCl from Alexandria. Energies are from GGA-PBE.

POSCAR file:
```
MgTaCl
1.0
0.000 3.040 3.040
3.040 0.000 3.040
3.040 3.040 0.000
Mg Ta Cl
1 1 1
Cartesian
0.000 0.000 0.000
3.040 3.040 3.040
1.520 1.520 1.520
```

- E: -4.187 eV/atom
- Total magnetization: 0.00 μB per cell
- Theoretical density: 7.11 Mg/m³
- Energy relative to the lowest polymorph listed for this composition: 1158.7 meV per atom
- Uncorrected formation energy: 911 meV/atom



Record 2
Here is a relaxed structure of V2ZnPd2 from Alexandria. Energies are from GGA-PBE.

POSCAR file:
```
V2ZnPd2
1.0
7.461 0.000 0.000
0.000 7.461 0.000
0.000 0.000 2.727
V Zn Pd
4 2 4
Cartesian
1.265 2.465 0.000
2.465 6.196 0.000
4.995 1.265 0.000
6.196 4.995 0.000
0.000 0.000 1.363
3.730 3.730 1.363
0.956 4.686 1.363
2.774 0.956 1.363
4.686 6.505 1.363
6.505 2.774 1.363
```

- E: -5.999 eV/atom
- Total magnetization: 0.00 μB per cell
- Theoretical density: 8.32 Mg/m³
- Energy relative to the lowest polymorph listed for this composition: 0.0 meV per atom



Record 3
Here is a relaxed structure of Li2SiAg from Alexandria. Energies are from GGA-PBE.

POSCAR file:
```
Li2SiAg
1.0
-3.634 3.634 2.549
3.634 -3.634 2.549
3.634 3.634 -2.549
Li Si Ag
4 2 2
Cartesian
5.451 1.771 -0.637
1.771 1.817 0.637
-1.817 1.862 1.912
1.862 1.817 3.186
0.000 0.000 0.000
0.000 3.634 1.274
3.634 0.000 1.274
0.000 0.000 2.549
```

- E: -2.923 eV/atom
- Total magnetization: 0.00 μB per cell
- Theoretical density: 3.70 Mg/m³
- Uncorrected formation energy: 103 meV/atom



Record 4
Here is a relaxed structure of RbCeBr3 from Alexandria. Energies are from GGA-PBE.

POSCAR file:
```
RbCeBr3
1.0
6.916 0.000 0.000
-0.079 8.172 0.000
-1.425 -3.919 7.202
Rb Ce Br
2 2 6
Cartesian
0.972 0.049 2.465
4.440 4.204 4.737
-0.040 4.086 0.000
3.418 4.086 0.000
0.272 1.867 5.399
0.239 -2.254 6.595
1.692 4.753 2.402
3.720 -0.500 4.800
5.173 6.507 0.606
5.140 2.386 1.803
```

- E: -4.038 eV/atom
- Total magnetization: 2.82 μB per cell
- Theoretical density: 3.80 Mg/m³
- Energy relative to the lowest polymorph listed for this composition: 19.4 meV per atom
- Uncorrected formation energy: -1654 meV/atom



Record 5
Here is a relaxed structure of Dy3FeSi3 from Alexandria. Energies are from GGA-PBE.

POSCAR file:
```
Dy3FeSi3
1.0
5.264 -2.079 0.000
5.264 2.079 0.000
-4.903 0.000 12.579
Dy Fe Si
6 2 6
Cartesian
-1.606 0.000 4.775
-3.443 0.000 11.561
1.497 0.000 2.889
4.129 0.000 9.690
9.069 0.000 1.017
7.232 0.000 7.804
-0.193 0.000 7.345
5.819 0.000 5.233
1.485 0.000 5.740
-0.456 0.000 11.630
0.948 0.000 9.528
4.678 0.000 3.051
6.082 0.000 0.949
4.140 0.000 6.839
```

- E: -6.246 eV/atom
- Total magnetization: 0.00 μB per cell
- Theoretical density: 7.57 Mg/m³
- Uncorrected formation energy: -740 meV/atom



Record 6
Here is a relaxed structure of AlZn2Fe from Alexandria. Energies are from GGA-PBE.

POSCAR file:
```
AlZn2Fe
1.0
4.685 -1.392 0.000
4.685 1.392 0.000
-1.200 0.000 4.168
Al Zn Fe
1 2 1
Cartesian
0.000 0.000 0.000
1.337 0.000 3.066
6.832 0.000 1.102
4.084 0.000 2.084
```

- E: -3.741 eV/atom
- Total magnetization: 1.62 μB per cell
- Theoretical density: 6.52 Mg/m³



Record 7
Here is a relaxed structure of BaSn2Au from Alexandria. Energies are from GGA-PBE.

POSCAR file:
```
BaSn2Au
1.0
3.386 -5.987 0.000
3.386 5.987 0.000
-2.668 0.000 5.950
Ba Sn Au
2 4 2
Cartesian
1.385 4.604 4.462
2.719 -4.604 1.487
0.297 1.378 5.528
2.472 1.378 3.397
1.631 -1.378 2.553
3.807 -1.378 0.422
2.719 3.484 1.487
1.385 -3.484 4.462
```

- E: -3.869 eV/atom
- Total magnetization: 0.00 μB per cell
- Theoretical density: 7.87 Mg/m³



Record 8
Here is a relaxed structure of NaSrLiPb2 from Alexandria. Energies are from GGA-PBE.

POSCAR file:
```
NaSrLiPb2
1.0
6.081 0.000 0.000
0.000 7.659 0.000
0.000 0.000 6.388
Na Sr Li Pb
2 2 2 4
Cartesian
1.520 0.000 0.616
4.561 0.000 5.772
1.520 3.830 1.400
4.561 3.830 4.988
0.000 0.000 3.194
3.040 0.000 3.194
1.520 2.052 4.515
1.520 5.607 4.515
4.561 2.052 1.873
4.561 5.607 1.873
```

- E: -2.731 eV/atom
- Total magnetization: 0.00 μB per cell
- Theoretical density: 5.94 Mg/m³
- Energy relative to the lowest polymorph listed for this composition: 0.0 meV per atom